Entry 1:
12
Lattice="-3.470 -1.117 -3.194 -5.210 -2.128 6.404 -1.146 9.927 -2.227" Properties=species:S:1:pos:R:3 comment="CsSnPbS3, optimized geometry, DFT PBE" raw_formation_energy_ev_per_atom=-0.6457 dft_energy_ev_per_atom=-4.137 pbc="T T T"
Cs -2.510 1.858 0.237
Cs -7.316 4.823 0.744
Sn -2.438 5.708 -1.186
Sn -7.387 0.974 2.168
Pb -4.535 -0.739 3.345
Pb -5.291 7.420 -2.363
S -7.607 -1.258 3.187
S -2.219 7.939 -2.205
S -5.616 2.375 3.431
S -4.209 4.306 -2.449
S -5.496 -0.116 0.495
S -4.329 6.797 0.487



Entry 2:
16
Lattice="-5.894 -2.402 -2.557 -3.759 -5.502 4.636 -9.349 8.181 4.665" Properties=species:S:1:pos:R:3 comment="Cs2SnPbS4, optimized geometry, DFT PBE" raw_formation_energy_ev_per_atom=-0.7287 dft_energy_ev_per_atom=-3.970 pbc="T T T"
Cs -7.014 4.759 2.498
Cs -8.228 1.020 -0.389
Cs -13.309 2.960 4.901
Cs -8.639 -3.884 0.566
Sn -8.028 0.739 4.012
Sn -2.947 -1.201 -1.278
Pb -10.974 -0.462 2.733
Pb 0.000 0.000 0.000
S -6.004 -4.373 3.304
S -10.593 5.630 4.484
S -16.430 0.882 5.693
S -4.977 -1.585 0.009
S -8.730 -1.591 4.066
S -9.730 2.089 2.914
S -13.547 -1.067 3.785
S -5.997 1.123 2.724